! ZrPaAu2 | the Alexandria database | PBE-GGA | optimized geometry; values from VASP
! Energy relative to the elements, eV/atom: -0.2702
! Excess energy over the best structure of this formula in the dataset, meV per atom: 109
&SYSTEM
  ibrav = 0, nat = 4, ntyp = 3
/
ATOMIC_SPECIES
Au 196.97 Au.upf
Zr 91.22 Zr.upf
Pa 231.04 Pa.upf
ATOMIC_POSITIONS angstrom
Au -3.061 -0.105 -0.121
Au -9.182 -0.315 -0.363
Zr -6.121 -0.210 -0.242
Pa 0.000 0.000 0.000
CELL_PARAMETERS angstrom
-4.163 2.719 -0.570
-3.930 -1.920 -2.432
-4.150 -1.219 2.518